Mn2RePt | the Alexandria database | PBE-GGA | relaxed; E_form = -0.05 eV per atom; ρ = 15.2 g cm⁻³
1.0
-1.9226 1.9226 3.6397
1.9226 -1.9226 3.6397
1.9226 1.9226 -3.6397
Mn Re Pt
2 1 1
direct
0.2500 0.7500 0.5000
0.7500 0.2500 0.5000
0.0000 0.0000 0.0000
0.5000 0.5000 0.0000